The following is a GGA+U calculation of HfCr2O after structural relaxation, from Alexandria.

a b c (Å): 5.984 5.984 5.933
angles (deg): 59.72 59.72 90.00
Each line ends with the local moment (μB).
Positions (direct):
O1 0.250 0.750 0.500  -0.14
O2 0.500 0.500 0.000  -0.14
Hf1 0.000 0.000 0.000  -0.78
Hf2 0.750 0.250 0.500  -0.78
Cr1 0.375 0.530 0.750  3.58
Cr2 0.280 0.625 0.250  3.58
Cr3 0.875 0.720 0.750  3.57
Cr4 0.470 0.125 0.250  3.59

Properties
DOS(E_F)	4.56	states/eV per cell
crystal system	tetragonal
magnetic moment	6.0	μB/f.u.
volume	148.9	Å³ per cell
raw total energy	-60.6	eV/cell